(1)
A geometry-optimized K2LiSbF structure. Source: the Alexandria database, functional PBE.

Calculated values
magnetic moment = 0.04 Bohr magnetons per cell
energy relative to the elements, uncorrected = -1.26 eV/atom

Geometry as CIF:
```
data_K2LiSbF
_chemical_formula_sum 'K2 Li1 Sb1 F1'
_symmetry_space_group_name_H-M 'P 4/m m m'
_symmetry_Int_Tables_number 123
_symmetry_space_group_name_Hall '-P 4 2'
_cell_length_a 6.002
_cell_length_b 6.002
_cell_length_c 3.753
_cell_angle_alpha 90.00
_cell_angle_beta 90.00
_cell_angle_gamma 90.00
loop_
_atom_site_label
_atom_site_fract_x
_atom_site_fract_y
_atom_site_fract_z
K1 0.000 0.500 0.000
Li1 0.000 0.000 0.500
Sb1 0.500 0.500 0.500
F1 0.000 0.000 0.000
```

***

(2)
A geometry-optimized Pr2HoAg3 structure. Source: the Alexandria database, functional PBE.

Calculated values
magnetic moment = 0.00 Bohr magnetons per cell
energy of formation = -1.6 eV/f.u.

Geometry as CIF:
```
data_Pr2HoAg3
_chemical_formula_sum 'Pr2 Ho1 Ag3'
_symmetry_space_group_name_H-M 'P 4/m m m'
_symmetry_Int_Tables_number 123
_symmetry_space_group_name_Hall '-P 4 2'
_cell_length_a 3.697
_cell_length_b 3.697
_cell_length_c 11.364
_cell_angle_alpha 90.00
_cell_angle_beta 90.00
_cell_angle_gamma 90.00
loop_
_atom_site_label
_atom_site_fract_x
_atom_site_fract_y
_atom_site_fract_z
Pr1 0.000 0.000 0.172
Ho1 0.000 0.000 0.500
Ag1 0.500 0.500 0.000
Ag2 0.500 0.500 0.350
```

***

(3)
A geometry-optimized BeRh3 structure. Source: the Alexandria database, functional PBE.

Calculated values
magnetic moment = 0.00 Bohr magnetons per cell
energy of formation = -0.5 eV/f.u.

Geometry as CIF:
```
data_BeRh3
_chemical_formula_sum 'Be2 Rh6'
_symmetry_space_group_name_H-M 'P m m n'
_symmetry_Int_Tables_number 59
_cell_length_a 4.279
_cell_length_b 5.313
_cell_length_c 4.584
_cell_angle_alpha 90.00
_cell_angle_beta 90.00
_cell_angle_gamma 90.00
loop_
_symmetry_equiv_pos_as_xyz
'x,y,z'
'-x,-y,-z'
'-x+1/2,-y+1/2,z'
'x+1/2,y+1/2,-z'
'x+1/2,-y,-z'
'-x+1/2,y,z'
'-x,y+1/2,-z'
'x,-y+1/2,z'
loop_
_atom_site_label
_atom_site_fract_x
_atom_site_fract_y
_atom_site_fract_z
Be1 0.250 0.250 0.155
Rh1 0.250 0.502 0.666
Rh2 0.250 0.750 0.151
```

***

(4)
A geometry-optimized Tb4S3 structure. Source: the Alexandria database, functional PBE.

Calculated values
magnetic moment = 0.00 Bohr magnetons per cell
energy relative to the elements, uncorrected = -1.70 eV/atom

Geometry as CIF:
```
data_Tb4S3
_chemical_formula_sum 'Tb12 S9'
_symmetry_space_group_name_H-M 'R -3 m'
_symmetry_Int_Tables_number 166
_symmetry_space_group_name_Hall '-R 3 2"'
_cell_length_a 3.8652
_cell_length_b 3.8652
_cell_length_c 38.2634
_cell_angle_alpha 90.00
_cell_angle_beta 90.00
_cell_angle_gamma 120.00
loop_
_atom_site_label
_atom_site_fract_x
_atom_site_fract_y
_atom_site_fract_z
Tb1 0.0000 0.0000 0.1219
Tb2 0.0000 0.0000 0.3723
S1 0.0000 0.0000 0.2522
S2 0.0000 0.0000 0.5000
```

***

(5)
A geometry-optimized TlPtAu2 structure. Source: the Alexandria database, functional PBE.

Calculated values
magnetic moment = 0.00 Bohr magnetons per cell
E above lowest polymorph = 0.025 eV/f.u.
energy of formation = 0.3 eV/f.u.

Geometry as CIF:
```
data_TlPtAu2
_chemical_formula_sum 'Tl1 Pt1 Au2'
_symmetry_space_group_name_H-M 'P 1 m 1'
_symmetry_Int_Tables_number 6
_cell_length_a 3.327
_cell_length_b 4.549
_cell_length_c 5.048
_cell_angle_alpha 90.00
_cell_angle_beta 90.29
_cell_angle_gamma 90.00
loop_
_symmetry_equiv_pos_as_xyz
'x,y,z'
'x,-y,z'
loop_
_atom_site_label
_atom_site_fract_x
_atom_site_fract_y
_atom_site_fract_z
Tl1 0.000 0.000 0.000
Pt1 0.498 0.500 0.870
Au1 0.498 0.000 0.507
Au2 0.996 0.500 0.389
```

***

(6)
A geometry-optimized VCu3Tc structure. Source: the Alexandria database, functional PBE.

Calculated values
magnetic moment = 2.25 Bohr magnetons per cell
E above lowest polymorph = 0.000 eV/f.u.
energy of formation = 7.6 eV/f.u.

Geometry as CIF:
```
data_VCu3Tc
_chemical_formula_sum 'V1 Cu3 Tc1'
_symmetry_space_group_name_H-M 'P m -3 m'
_symmetry_Int_Tables_number 221
_symmetry_space_group_name_Hall '-P 4 2 3'
_cell_length_a 4.575
_cell_length_b 4.575
_cell_length_c 4.575
_cell_angle_alpha 90.00
_cell_angle_beta 90.00
_cell_angle_gamma 90.00
loop_
_atom_site_label
_atom_site_fract_x
_atom_site_fract_y
_atom_site_fract_z
V1 0.000 0.000 0.000
Cu1 0.000 0.500 0.500
Tc1 0.500 0.500 0.500
```

***

(7)
A geometry-optimized Sr3Ag2N structure. Source: the Alexandria database, functional PBE.

Calculated values
magnetic moment = 0.00 Bohr magnetons per cell
energy relative to the elements, uncorrected = -0.29 eV/atom

Geometry as CIF:
```
data_Sr3Ag2N
_chemical_formula_sum 'Sr12 Ag8 N4'
_symmetry_space_group_name_H-M 'C 1 2/c 1'
_symmetry_Int_Tables_number 15
_cell_length_a 15.065
_cell_length_b 6.310
_cell_length_c 7.575
_cell_angle_alpha 90.00
_cell_angle_beta 104.57
_cell_angle_gamma 90.00
loop_
_symmetry_equiv_pos_as_xyz
'x,y,z'
'-x,-y,-z'
'-x,y,-z+1/2'
'x,-y,z+1/2'
'x+1/2,y+1/2,z'
'-x+1/2,-y+1/2,-z'
'-x+1/2,y+1/2,-z+1/2'
'x+1/2,-y+1/2,z+1/2'
loop_
_atom_site_label
_atom_site_fract_x
_atom_site_fract_y
_atom_site_fract_z
Sr1 0.000 0.049 0.250
Sr2 0.117 0.498 0.559
Ag1 0.187 0.003 0.093
N1 0.000 0.436 0.250
```

***

(8)
A geometry-optimized VInTcRh structure. Source: the Alexandria database, functional PBE.

Calculated values
magnetic moment = 0.00 Bohr magnetons per cell
energy of formation = -0.6 eV/f.u.

Geometry as CIF:
```
data_VInTcRh
_chemical_formula_sum 'V4 In4 Tc4 Rh4'
_symmetry_space_group_name_H-M 'F -4 3 m'
_symmetry_Int_Tables_number 216
_symmetry_space_group_name_Hall 'F -4 2 3'
_cell_length_a 6.271
_cell_length_b 6.271
_cell_length_c 6.271
_cell_angle_alpha 90.00
_cell_angle_beta 90.00
_cell_angle_gamma 90.00
loop_
_atom_site_label
_atom_site_fract_x
_atom_site_fract_y
_atom_site_fract_z
V1 0.000 0.000 0.000
In1 0.000 0.000 0.500
Tc1 0.250 0.250 0.250
Rh1 0.250 0.250 0.750
```

***

(9)
A geometry-optimized AcHoMgBi structure. Source: the Alexandria database, functional PBE.

Calculated values
magnetic moment = 0.00 Bohr magnetons per cell
energy of formation = -1.2 eV/f.u.

Geometry as CIF:
```
data_AcHoMgBi
_chemical_formula_sum 'Ac4 Ho4 Mg4 Bi4'
_symmetry_space_group_name_H-M 'F -4 3 m'
_symmetry_Int_Tables_number 216
_symmetry_space_group_name_Hall 'F -4 2 3'
_cell_length_a 8.005
_cell_length_b 8.005
_cell_length_c 8.005
_cell_angle_alpha 90.00
_cell_angle_beta 90.00
_cell_angle_gamma 90.00
loop_
_atom_site_label
_atom_site_fract_x
_atom_site_fract_y
_atom_site_fract_z
Ac1 0.000 0.000 0.000
Ho1 0.000 0.000 0.500
Mg1 0.250 0.250 0.750
Bi1 0.250 0.250 0.250
```

***

(10)
A geometry-optimized Pm2GaSi4Ir3 structure. Source: the Alexandria database, functional PBE.

Calculated values
magnetic moment = 0.00 Bohr magnetons per cell
energy relative to the elements, uncorrected = -0.88 eV/atom

Geometry as CIF:
```
data_Pm2GaSi4Ir3
_chemical_formula_sum 'Pm2 Ga1 Si4 Ir3'
_symmetry_space_group_name_H-M 'P -4 m 2'
_symmetry_Int_Tables_number 115
_cell_length_a 4.184
_cell_length_b 4.184
_cell_length_c 10.075
_cell_angle_alpha 90.00
_cell_angle_beta 90.00
_cell_angle_gamma 90.00
loop_
_symmetry_equiv_pos_as_xyz
'x,y,z'
'y,-x,-z'
'-x,-y,z'
'-y,x,-z'
'-x,y,z'
'-y,-x,-z'
'x,-y,z'
'y,x,-z'
loop_
_atom_site_label
_atom_site_fract_x
_atom_site_fract_y
_atom_site_fract_z
Pm1 0.000 0.500 0.243
Ga1 0.000 0.000 0.500
Si1 0.000 0.000 0.000
Si2 0.000 0.500 0.643
Si3 0.500 0.500 0.000
Ir1 0.000 0.500 0.878
Ir2 0.500 0.500 0.500
```

***

(11)
A geometry-optimized K2PbO2 structure. Source: the Alexandria database, functional PBE.

Calculated values
magnetic moment = 0.00 Bohr magnetons per cell
E above lowest polymorph = 0.110 eV/f.u.
energy relative to the elements, uncorrected = -1.25 eV/atom

Geometry as CIF:
```
data_K2PbO2
_chemical_formula_sum 'K8 Pb4 O8'
_symmetry_space_group_name_H-M 'C m c 21'
_symmetry_Int_Tables_number 36
_cell_length_a 3.651
_cell_length_b 19.333
_cell_length_c 6.636
_cell_angle_alpha 90.00
_cell_angle_beta 90.00
_cell_angle_gamma 90.00
loop_
_symmetry_equiv_pos_as_xyz
'x,y,z'
'-x,-y,z+1/2'
'-x,y,z'
'x,-y,z+1/2'
'x+1/2,y+1/2,z'
'-x+1/2,-y+1/2,z+1/2'
'-x+1/2,y+1/2,z'
'x+1/2,-y+1/2,z+1/2'
loop_
_atom_site_label
_atom_site_fract_x
_atom_site_fract_y
_atom_site_fract_z
K1 0.000 0.091 0.000
K2 0.000 0.250 0.670
Pb1 0.000 0.403 0.011
O1 0.000 0.152 0.366
O2 0.000 0.346 0.286
```

***

(12)
A geometry-optimized GdErInGa structure. Source: the Alexandria database, functional PBE.

Calculated values
magnetic moment = 28.59 Bohr magnetons per cell
energy of formation = -2.0 eV/f.u.

Geometry as CIF:
```
data_GdErInGa
_chemical_formula_sum 'Gd4 Er4 In4 Ga4'
_symmetry_space_group_name_H-M 'F -4 3 m'
_symmetry_Int_Tables_number 216
_symmetry_space_group_name_Hall 'F -4 2 3'
_cell_length_a 7.357
_cell_length_b 7.357
_cell_length_c 7.357
_cell_angle_alpha 90.00
_cell_angle_beta 90.00
_cell_angle_gamma 90.00
loop_
_atom_site_label
_atom_site_fract_x
_atom_site_fract_y
_atom_site_fract_z
Gd1 0.000 0.000 0.000
Er1 0.000 0.000 0.500
In1 0.250 0.250 0.250
Ga1 0.250 0.250 0.750
```

***

(13)
A geometry-optimized Nd8Mg2Ga structure. Source: the Alexandria database, functional PBE.

Calculated values
magnetic moment = 0.00 Bohr magnetons per cell
energy of formation = -0.6 eV/f.u.

Geometry as CIF:
```
data_Nd8Mg2Ga
_chemical_formula_sum 'Nd16 Mg4 Ga2'
_symmetry_space_group_name_H-M 'C 1 2/m 1'
_symmetry_Int_Tables_number 12
_cell_length_a 18.421
_cell_length_b 5.448
_cell_length_c 7.323
_cell_angle_alpha 90.00
_cell_angle_beta 108.43
_cell_angle_gamma 90.00
loop_
_symmetry_equiv_pos_as_xyz
'x,y,z'
'-x,-y,-z'
'-x,y,-z'
'x,-y,z'
'x+1/2,y+1/2,z'
'-x+1/2,-y+1/2,-z'
'-x+1/2,y+1/2,-z'
'x+1/2,-y+1/2,z'
loop_
_atom_site_label
_atom_site_fract_x
_atom_site_fract_y
_atom_site_fract_z
Nd1 0.017 0.000 0.271
Nd2 0.093 0.500 0.944
Nd3 0.159 0.500 0.450
Nd4 0.196 0.000 0.778
Mg1 0.183 0.000 0.202
Ga1 0.000 0.500 0.500
```

***

(14)
A geometry-optimized Na5Tl4In2 structure. Source: the Alexandria database, functional PBE.

Calculated values
magnetic moment = 0.00 Bohr magnetons per cell
energy of formation = -1.0 eV/f.u.

Geometry as CIF:
```
data_Na5Tl4In2
_chemical_formula_sum 'Na10 Tl8 In4'
_symmetry_space_group_name_H-M 'C 1 2/m 1'
_symmetry_Int_Tables_number 12
_cell_length_a 12.031
_cell_length_b 5.522
_cell_length_c 9.442
_cell_angle_alpha 90.00
_cell_angle_beta 92.48
_cell_angle_gamma 90.00
loop_
_symmetry_equiv_pos_as_xyz
'x,y,z'
'-x,-y,-z'
'-x,y,-z'
'x,-y,z'
'x+1/2,y+1/2,z'
'-x+1/2,-y+1/2,-z'
'-x+1/2,y+1/2,-z'
'x+1/2,-y+1/2,z'
loop_
_atom_site_label
_atom_site_fract_x
_atom_site_fract_y
_atom_site_fract_z
Na1 0.000 0.000 0.000
Na2 0.141 0.500 0.458
Na3 0.222 0.500 0.103
Tl1 0.058 0.500 0.810
Tl2 0.172 0.000 0.274
In1 0.086 0.000 0.632
```

***

(15)
A geometry-optimized BaLa2Co structure. Source: the Alexandria database, functional PBE.

Calculated values
magnetic moment = 0.00 Bohr magnetons per cell
E above lowest polymorph = 0.534 eV/f.u.
energy of formation = 0.3 eV/f.u.

Geometry as CIF:
```
data_BaLa2Co
_chemical_formula_sum 'Ba1 La2 Co1'
_symmetry_space_group_name_H-M 'P 1 2/m 1'
_symmetry_Int_Tables_number 10
_cell_length_a 3.842
_cell_length_b 3.744
_cell_length_c 9.752
_cell_angle_alpha 90.00
_cell_angle_beta 98.86
_cell_angle_gamma 90.00
loop_
_symmetry_equiv_pos_as_xyz
'x,y,z'
'-x,-y,-z'
'-x,y,-z'
'x,-y,z'
loop_
_atom_site_label
_atom_site_fract_x
_atom_site_fract_y
_atom_site_fract_z
Ba1 0.000 0.000 0.000
La1 0.381 0.500 0.655
Co1 0.000 0.000 0.500
```

***

(16)
A geometry-optimized KOs2Br structure. Source: the Alexandria database, functional PBE.

Calculated values
magnetic moment = 0.00 Bohr magnetons per cell
E above lowest polymorph = 3.856 eV/f.u.
energy relative to the elements, uncorrected = 1.41 eV/atom

Geometry as CIF:
```
data_KOs2Br
_chemical_formula_sum 'K2 Os4 Br2'
_symmetry_space_group_name_H-M 'C m m m'
_symmetry_Int_Tables_number 65
_symmetry_space_group_name_Hall '-C 2 2'
_cell_length_a 5.362
_cell_length_b 13.618
_cell_length_c 2.544
_cell_angle_alpha 90.00
_cell_angle_beta 90.00
_cell_angle_gamma 90.00
loop_
_atom_site_label
_atom_site_fract_x
_atom_site_fract_y
_atom_site_fract_z
K1 0.000 0.000 0.000
Os1 0.250 0.250 0.500
Br1 0.000 0.500 0.000
```

***

(17)
A geometry-optimized LiDyAgPb structure. Source: the Alexandria database, functional PBE.

Calculated values
magnetic moment = 0.00 Bohr magnetons per cell
energy of formation = -1.4 eV/f.u.

Geometry as CIF:
```
data_LiDyAgPb
_chemical_formula_sum 'Li4 Dy4 Ag4 Pb4'
_symmetry_space_group_name_H-M 'F -4 3 m'
_symmetry_Int_Tables_number 216
_symmetry_space_group_name_Hall 'F -4 2 3'
_cell_length_a 7.154
_cell_length_b 7.154
_cell_length_c 7.154
_cell_angle_alpha 90.00
_cell_angle_beta 90.00
_cell_angle_gamma 90.00
loop_
_atom_site_label
_atom_site_fract_x
_atom_site_fract_y
_atom_site_fract_z
Li1 0.000 0.000 0.000
Dy1 0.000 0.000 0.500
Ag1 0.250 0.250 0.750
Pb1 0.250 0.250 0.250
```

***

(18)
A geometry-optimized NaCa2GaI structure. Source: the Alexandria database, functional PBE.

Calculated values
magnetic moment = 0.00 Bohr magnetons per cell
energy relative to the elements, uncorrected = 0.30 eV/atom

Geometry as CIF:
```
data_NaCa2GaI
_chemical_formula_sum 'Na1 Ca2 Ga1 I1'
_symmetry_space_group_name_H-M 'P 4/m m m'
_symmetry_Int_Tables_number 123
_symmetry_space_group_name_Hall '-P 4 2'
_cell_length_a 6.265
_cell_length_b 6.265
_cell_length_c 5.469
_cell_angle_alpha 90.00
_cell_angle_beta 90.00
_cell_angle_gamma 90.00
loop_
_atom_site_label
_atom_site_fract_x
_atom_site_fract_y
_atom_site_fract_z
Na1 0.000 0.000 0.000
Ca1 0.000 0.500 0.000
Ga1 0.500 0.500 0.500
I1 0.000 0.000 0.500
```

***

(19)
A geometry-optimized NaTlIn2I structure. Source: the Alexandria database, functional PBE.

Calculated values
magnetic moment = 0.00 Bohr magnetons per cell
energy relative to the elements, uncorrected = 0.19 eV/atom

Geometry as CIF:
```
data_NaTlIn2I
_chemical_formula_sum 'Na1 Tl1 In2 I1'
_symmetry_space_group_name_H-M 'P 4/m m m'
_symmetry_Int_Tables_number 123
_symmetry_space_group_name_Hall '-P 4 2'
_cell_length_a 5.786
_cell_length_b 5.786
_cell_length_c 5.810
_cell_angle_alpha 90.00
_cell_angle_beta 90.00
_cell_angle_gamma 90.00
loop_
_atom_site_label
_atom_site_fract_x
_atom_site_fract_y
_atom_site_fract_z
Na1 0.000 0.000 0.000
Tl1 0.000 0.000 0.500
In1 0.000 0.500 0.000
I1 0.500 0.500 0.500
```

***

(20)
A geometry-optimized ScBe structure. Source: the Alexandria database, functional PBE.

Calculated values
magnetic moment = 0.00 Bohr magnetons per cell
energy of formation = 0.0 eV/f.u.

Geometry as CIF:
```
data_ScBe
_chemical_formula_sum 'Sc6 Be6'
_symmetry_space_group_name_H-M 'P 63/m m c'
_symmetry_Int_Tables_number 194
_symmetry_space_group_name_Hall '-P 6c 2c'
_cell_length_a 7.3146
_cell_length_b 7.3146
_cell_length_c 4.2516
_cell_angle_alpha 90.00
_cell_angle_beta 90.00
_cell_angle_gamma 120.00
loop_
_atom_site_label
_atom_site_fract_x
_atom_site_fract_y
_atom_site_fract_z
Sc1 0.1788 0.3576 0.2500
Be1 0.1389 0.5694 0.7500
```